DFT (PBE) results for an optimized crystal structure of Sr2BiPb2.

Values from the calculation:
E_tot: -31.472 eV for the cell shown
formation energy from the elements: -1.1 eV/f.u.
ρ: 7.38 Mg/m³

```
Sr2BiPb2
1.0
9.6130 0.0000 0.0000
0.0000 9.6130 0.0000
0.0000 0.0000 3.8897
Sr Bi Pb
4 2 4
direct
0.1307 0.3693 0.0000
0.3693 0.8693 0.0000
0.6307 0.1307 0.0000
0.8693 0.6307 0.0000
0.0000 0.0000 0.0000
0.5000 0.5000 0.0000
0.1754 0.6754 0.5000
0.3246 0.1754 0.5000
0.6754 0.8246 0.5000
0.8246 0.3246 0.5000
```